Compound: Tb2TlTe
Source: the Alexandria database
Functional: PBE-GGA
Structure: relaxed

It has space group P4/mmm (No. 123), with a = 3.685 Å, b = 3.685 Å, c = 8.176 Å, α = 90.00°, β = 90.00° and γ = 90.00°. Symmetry generates all atoms from Tb at (0.000, 0.000, 0.239), Tl at (0.500, 0.500, 0.500) and Te at (0.500, 0.500, 0.000).

For the energy above the most stable polymorph in this dataset, the calculation gives 163.7 meV per atom. As for the crystal system: tetragonal.